1.
This record from Alexandria describes a geometry-optimized CdGa2Ge2 structure. The functional is GGA-PBE.

Calculated values
Energy of formation ... 0.164 eV/atom
Energy relative to the lowest polymorph listed for this composition ... 33 meV/atom

```
data_CdGa2Ge2
_cell_length_a 8.2973
_cell_length_b 8.2973
_cell_length_c 2.9673
_cell_angle_alpha 90.00
_cell_angle_beta 90.00
_cell_angle_gamma 90.00
_symmetry_space_group_name_H-M 'P 4/m b m'
_symmetry_Int_Tables_number 127
_symmetry_space_group_name_Hall '-P 4 2ab'
loop_
_atom_site_label
_atom_site_fract_x
_atom_site_fract_y
_atom_site_fract_z
_atom_site_occupancy
Cd1 0.0000 0.0000 0.0000 1
Ga1 0.1457 0.3543 0.0000 1
Ge1 0.1505 0.6505 0.5000 1
```

---

2.
This record from Alexandria describes a geometry-optimized CdGa2Ge structure. The functional is GGA-PBE.

Calculated values
Energy of formation ... 0.132 eV/atom
Energy relative to the lowest polymorph listed for this composition ... 26 meV/atom

```
data_CdGa2Ge
_cell_length_a 7.9191
_cell_length_b 7.9191
_cell_length_c 5.4500
_cell_angle_alpha 90.00
_cell_angle_beta 90.00
_cell_angle_gamma 90.00
_symmetry_space_group_name_H-M 'I -4 2 d'
_symmetry_Int_Tables_number 122
_symmetry_space_group_name_Hall 'I -4 2bw'
loop_
_atom_site_label
_atom_site_fract_x
_atom_site_fract_y
_atom_site_fract_z
_atom_site_occupancy
Cd1 0.0000 0.0000 0.0000 1
Ga1 0.2062 0.2500 0.6250 1
Ge1 0.0000 0.0000 0.5000 1
```

---

3.
This record from Alexandria describes a geometry-optimized CdGaGe2 structure. The functional is GGA-PBE.

Calculated values
Energy of formation ... 0.330 eV/atom
Energy relative to the lowest polymorph listed for this composition ... 141 meV/atom

```
data_CdGaGe2
_cell_length_a 6.3546
_cell_length_b 6.3546
_cell_length_c 10.3700
_cell_angle_alpha 90.00
_cell_angle_beta 90.00
_cell_angle_gamma 90.00
_symmetry_space_group_name_H-M 'I -4 2 d'
_symmetry_Int_Tables_number 122
_symmetry_space_group_name_Hall 'I -4 2bw'
loop_
_atom_site_label
_atom_site_fract_x
_atom_site_fract_y
_atom_site_fract_z
_atom_site_occupancy
Cd1 0.0000 0.0000 0.0000 1
Ga1 0.0000 0.0000 0.5000 1
Ge1 0.2205 0.2500 0.6250 1
```

---

4.
This record from Alexandria describes a geometry-optimized Cd2GaGe structure. The functional is GGA-PBE.

Calculated values
Energy of formation ... 0.139 eV/atom
Energy relative to the lowest polymorph listed for this composition ... 17 meV/atom

```
data_Cd2GaGe
_cell_length_a 4.3804
_cell_length_b 4.3804
_cell_length_c 4.4095
_cell_angle_alpha 90.00
_cell_angle_beta 90.00
_cell_angle_gamma 90.00
_symmetry_space_group_name_H-M 'P 4/m m m'
_symmetry_Int_Tables_number 123
_symmetry_space_group_name_Hall '-P 4 2'
loop_
_atom_site_label
_atom_site_fract_x
_atom_site_fract_y
_atom_site_fract_z
_atom_site_occupancy
Cd1 0.0000 0.5000 0.0000 1
Ga1 0.0000 0.0000 0.5000 1
Ge1 0.5000 0.5000 0.5000 1
```